Run A
The following is a PBE-GGA calculation of SbSBr2 after structural relaxation, from Alexandria via LeMat-Bulk.

abc: 5.0546 8.0261 7.6308
angles: 105.23 109.34 90.00
Closest atoms and distances in Å follow each position.
Fractional coordinates of all 8 atoms:
Sb (0.0001, 0.7500, 0.0000)  2 S 2.53
Sb (0.9999, 0.2500, 0.0000)  2 S 2.53
S (0.5001, 0.2500, 0.0000)  2 Sb 2.53
S (0.4999, 0.7500, 0.0000)  2 Sb 2.53
Br (0.1444, 0.5722, 0.2887)  2 Sb 2.83
Br (0.8556, 0.4278, 0.7113)  2 Sb 2.83
Br (0.1443, 0.0722, 0.2887)  2 Sb 2.83
Br (0.8557, 0.9278, 0.7113)  2 Sb 2.83

For the density of states at the Fermi level, the calculation gives 7.709 states/eV per cell. As for the symmetry: No. 71.

---

Run B
The following is a PBE-GGA calculation of SbSBr2 after structural relaxation, from Alexandria via LeMat-Bulk.

abc: 10.3765 10.3765 7.7608
angles: 48.05 48.05 90.00
Closest atoms and distances in Å follow each position.
Fractional coordinates of all 8 atoms:
Sb (0.0000, 0.0000, 0.0000)  2 S 2.53
Sb (0.7500, 0.2500, 0.5000)  2 S 2.53
S (0.5000, 0.5000, 0.0000)  2 Sb 2.53
S (0.2500, 0.7500, 0.5000)  2 Sb 2.53
Br (0.7703, 0.1250, 0.2500)  2 Sb 2.88
Br (0.9797, 0.6250, 0.2500)  2 Sb 2.88
Br (0.3750, 0.2297, 0.7500)  2 Sb 2.88
Br (0.8750, 0.0203, 0.7500)  2 Sb 2.88

For the density of states at the Fermi level, the calculation gives 8.311 states/eV per cell. As for the symmetry: No. 122.

---

Calculated relative energies: run A 0.0; run B 11.3, given in kJ/mol of atoms

---

Run A
The following is a PBE-GGA calculation of SbSBr2 after structural relaxation, from Alexandria via LeMat-Bulk.

abc: 9.8818 9.8818 9.8818
angles: 20.82 20.82 20.82
Closest atoms and distances in Å follow each position.
Fractional coordinates of all 4 atoms:
Sb (0.5000, 0.5000, 0.5000)  6 Br 3.16
S (0.0000, 0.0000, 0.0000)  2 Br 2.44
Br (0.9160, 0.9160, 0.9160)  1 S 2.44
Br (0.0840, 0.0840, 0.0840)  1 S 2.44

For the density of states at the Fermi level, the calculation gives 2.946 states/eV per cell. As for the symmetry: No. 166.

---

Run B
The following is a PBE-GGA calculation of SbSBr2 after structural relaxation, from Alexandria via LeMat-Bulk.

abc: 5.1239 5.1239 5.1239
angles: 60.00 60.00 60.00
Closest atoms and distances in Å follow each position.
Fractional coordinates of all 4 atoms:
Sb (0.5000, 0.5000, 0.5000)  8 Br 3.14
S (0.0000, 0.0000, 0.0000)  8 Br 3.14
Br (0.2500, 0.2500, 0.2500)  4 S 3.14, 4 Sb 3.14
Br (0.7500, 0.7500, 0.7500)  4 S 3.14, 4 Sb 3.14

For the density of states at the Fermi level, the calculation gives 2.129 states/eV per cell. As for the symmetry: No. 225.

---

Calculated relative energies: run A 0.0; run B 10.1, given in kJ/mol of atoms

---

Run A
The following is a PBE-GGA calculation of Sb3SBr after structural relaxation, from Alexandria via LeMat-Bulk.

abc: 5.4849 5.4849 5.4849
angles: 90.00 90.00 90.00
Closest atoms and distances in Å follow each position.
Fractional coordinates of all 5 atoms:
Sb (0.0000, 0.5000, 0.0000)  2 Br 2.74
Sb (0.0000, 0.0000, 0.5000)  2 Br 2.74
Sb (0.5000, 0.0000, 0.0000)  2 Br 2.74
S (0.5000, 0.5000, 0.5000)  12 Sb 3.88
Br (0.0000, 0.0000, 0.0000)  6 Sb 2.74

For the density of states at the Fermi level, the calculation gives 7.478 states/eV per cell. As for the symmetry: No. 221.

---

Run B
The following is a PBE-GGA calculation of Sb3SBr after structural relaxation, from Alexandria via LeMat-Bulk.

abc: 5.2927 5.2927 5.2927
angles: 90.00 90.00 90.00
Closest atoms and distances in Å follow each position.
Fractional coordinates of all 5 atoms:
Sb (0.0000, 0.5000, 0.0000)  2 S 2.65
Sb (0.0000, 0.0000, 0.5000)  2 S 2.65
Sb (0.5000, 0.0000, 0.0000)  2 S 2.65
S (0.0000, 0.0000, 0.0000)  6 Sb 2.65
Br (0.5000, 0.5000, 0.5000)  12 Sb 3.74

For the density of states at the Fermi level, the calculation gives 2.438 states/eV per cell. As for the symmetry: No. 221.

---

Calculated relative energies: run A 72.2; run B 0.0, given in kJ/mol of atoms

---

Run A
The following is a PBE-GGA calculation of SbSeSBr2 after structural relaxation, from Alexandria via LeMat-Bulk.

abc: 5.5770 5.5770 5.4149
angles: 90.00 90.00 90.00
Closest atoms and distances in Å follow each position.
Fractional coordinates of all 5 atoms:
Sb (0.0000, 0.0000, 0.0000)  2 Se 2.71, 4 Br 2.79
S (0.5000, 0.5000, 0.5000)  8 Br 3.89, 4 Se 3.94
Se (0.0000, 0.0000, 0.5000)  2 Sb 2.71
Br (0.0000, 0.5000, 0.0000)  2 Sb 2.79
Br (0.5000, 0.0000, 0.0000)  2 Sb 2.79

For the density of states at the Fermi level, the calculation gives 2.756 states/eV per cell. As for the symmetry: No. 123.

---

Run B
The following is a PBE-GGA calculation of SbSeSBr2 after structural relaxation, from Alexandria via LeMat-Bulk.

abc: 5.0961 5.0961 5.0222
angles: 90.00 90.00 90.00
Closest atoms and distances in Å follow each position.
Fractional coordinates of all 5 atoms:
Sb (0.5000, 0.5000, 0.5000)  8 Br 3.58, 4 Se 3.60
S (0.0000, 0.0000, 0.0000)  2 Se 2.51, 4 Br 2.55
Se (0.0000, 0.0000, 0.5000)  2 S 2.51
Br (0.0000, 0.5000, 0.0000)  2 S 2.55
Br (0.5000, 0.0000, 0.0000)  2 S 2.55

For the density of states at the Fermi level, the calculation gives 3.981 states/eV per cell. As for the symmetry: No. 123.

---

Calculated relative energies: run A 0.0; run B 1.2, given in kJ/mol of atoms

---

Run A
The following is a PBE-GGA calculation of SnSbS2Br after structural relaxation, from Alexandria via LeMat-Bulk.

abc: 3.9887 8.7753 11.3594
angles: 122.49 90.00 90.00
Closest atoms and distances in Å follow each position.
Fractional coordinates of all 10 atoms:
Sn (0.2500, 0.3149, 0.5116)  3 S 2.66-2.67
Sn (0.7500, 0.6851, 0.4884)  3 S 2.66-2.67
Sb (0.2500, 0.3387, 0.0347)  3 S 2.55-2.70
Sb (0.7500, 0.6613, 0.9653)  3 S 2.55-2.70
S (0.7500, 0.5438, 0.6464)  3 Sn 2.66-2.67
S (0.2500, 0.4562, 0.3536)  3 Sn 2.66-2.67
S (0.7500, 0.5830, 0.1510)  3 Sb 2.55-2.70
S (0.2500, 0.4170, 0.8490)  3 Sb 2.55-2.70
Br (0.2500, 0.9345, 0.1423)  2 Sb 2.93
Br (0.7500, 0.0655, 0.8577)  2 Sb 2.93

As for the symmetry: No. 11.

---

Run B
The following is a PBE-GGA calculation of SnSbS2Br after structural relaxation, from Alexandria via LeMat-Bulk.

abc: 5.0292 5.3984 5.0292
angles: 90.00 90.00 90.00
Closest atoms and distances in Å follow each position.
Fractional coordinates of all 5 atoms:
Sb (0.0000, 0.5000, 0.0000)  2 Br 2.70
S (0.0000, 0.0000, 0.5000)  2 Br 2.51
S (0.5000, 0.0000, 0.0000)  2 Br 2.51
Sn (0.5000, 0.5000, 0.5000)  4 Sb 3.56, 8 S 3.69
Br (0.0000, 0.0000, 0.0000)  4 S 2.51, 2 Sb 2.70

For the density of states at the Fermi level, the calculation gives 5.077 states/eV per cell. As for the symmetry: No. 123.

---

Calculated relative energies: run A 0.0; run B 113.1, given in kJ/mol of atoms

---

Run A
The following is a PBE-GGA calculation of Sb2TeSBr after structural relaxation, from Alexandria via LeMat-Bulk.

abc: 5.5993 5.5993 5.3224
angles: 90.00 90.00 90.00
Closest atoms and distances in Å follow each position.
Fractional coordinates of all 5 atoms:
Sb (0.0000, 0.5000, 0.0000)  2 Br 2.80
Sb (0.5000, 0.0000, 0.0000)  2 Br 2.80
S (0.5000, 0.5000, 0.5000)  8 Sb 3.86, 4 Te 3.96
Te (0.0000, 0.0000, 0.5000)  2 Br 2.66
Br (0.0000, 0.0000, 0.0000)  2 Te 2.66, 4 Sb 2.80

For the density of states at the Fermi level, the calculation gives 5.971 states/eV per cell. As for the symmetry: No. 123.

---

Run B
The following is a PBE-GGA calculation of Sb2TeSBr after structural relaxation, from Alexandria via LeMat-Bulk.

abc: 5.3394 5.3394 5.2593
angles: 90.00 90.00 90.00
Closest atoms and distances in Å follow each position.
Fractional coordinates of all 5 atoms:
Sb (0.0000, 0.5000, 0.0000)  2 S 2.67
Sb (0.5000, 0.0000, 0.0000)  2 S 2.67
S (0.0000, 0.0000, 0.0000)  2 Te 2.63, 4 Sb 2.67
Te (0.0000, 0.0000, 0.5000)  2 S 2.63
Br (0.5000, 0.5000, 0.5000)  8 Sb 3.75, 4 Te 3.78

For the density of states at the Fermi level, the calculation gives 3.627 states/eV per cell. As for the symmetry: No. 123.

---

Calculated relative energies: run A 70.9; run B 0.0, given in kJ/mol of atoms